[1]
A plane-wave DFT calculation with PBE was carried out for PrSi2Pd3 after structural relaxation.

Geometry as CIF:
```
data_PrSi2Pd3
_chemical_formula_sum 'Pr6 Si12 Pd18'
_cell_length_a 16.488
_cell_length_b 4.060
_cell_length_c 10.020
_cell_angle_alpha 90.00
_cell_angle_beta 108.66
_cell_angle_gamma 90.00
_symmetry_space_group_name_H-M 'C 1 2/m 1'
_symmetry_Int_Tables_number 12
_symmetry_space_group_name_Hall '-C 2y'
loop_
_atom_site_label
_atom_site_type_symbol
_atom_site_fract_x
_atom_site_fract_y
_atom_site_fract_z
_atom_site_occupancy
Pr1 Pr 0.000 0.000 0.000 1
Pr2 Pr 0.153 0.000 0.694 1
Si1 Si 0.033 0.500 0.775 1
Si2 Si 0.136 0.500 0.447 1
Si3 Si 0.200 0.000 0.131 1
Pd1 Pd 0.000 0.500 0.500 1
Pd2 Pd 0.044 0.000 0.334 1
Pd3 Pd 0.129 0.500 0.203 1
Pd4 Pd 0.178 0.500 0.962 1
Pd5 Pd 0.221 0.000 0.394 1
```

Summary:
volume	106	Å³/f.u.
E_form (uncorrected)	-0.872	eV per atom
magnetic moment	0.00	μB per formula unit
raw total energy	-36.4	eV per formula unit

=====

[2]
A plane-wave DFT calculation with PBE was carried out for PrSiPd after structural relaxation.

Geometry as CIF:
```
data_PrSiPd
_chemical_formula_sum 'Pr4 Si4 Pd4'
_cell_length_a 6.227
_cell_length_b 6.456
_cell_length_c 7.462
_cell_angle_alpha 90.00
_cell_angle_beta 119.83
_cell_angle_gamma 90.00
_symmetry_space_group_name_H-M 'P 1 21/c 1'
_symmetry_Int_Tables_number 14
_symmetry_space_group_name_Hall '-P 2ybc'
loop_
_atom_site_label
_atom_site_type_symbol
_atom_site_fract_x
_atom_site_fract_y
_atom_site_fract_z
_atom_site_occupancy
Pr1 Pr 0.198 0.140 0.391 1
Si1 Si 0.353 0.572 0.308 1
Pd1 Pd 0.270 0.633 0.592 1
```

Summary:
volume	65	Å³/f.u.
E_form (uncorrected)	-0.809	eV per atom
magnetic moment	0.00	μB per formula unit
raw total energy	-17.8	eV per formula unit

=====

[3]
A plane-wave DFT calculation with PBE was carried out for Pr2SiPd2 after structural relaxation.

Geometry as CIF:
```
data_Pr2SiPd2
_chemical_formula_sum 'Pr8 Si4 Pd8'
_cell_length_a 11.056
_cell_length_b 4.222
_cell_length_c 11.314
_cell_angle_alpha 90.00
_cell_angle_beta 116.94
_cell_angle_gamma 90.00
_symmetry_space_group_name_H-M 'C 1 2/m 1'
_symmetry_Int_Tables_number 12
_symmetry_space_group_name_Hall '-C 2y'
loop_
_atom_site_label
_atom_site_type_symbol
_atom_site_fract_x
_atom_site_fract_y
_atom_site_fract_z
_atom_site_occupancy
Pr1 Pr 0.091 0.000 0.395 1
Pr2 Pr 0.189 0.500 0.139 1
Si1 Si 0.083 0.500 0.821 1
Pd1 Pd 0.048 0.000 0.908 1
Pd2 Pd 0.127 0.500 0.621 1
```

Summary:
volume	118	Å³/f.u.
E_form (uncorrected)	-0.784	eV per atom
magnetic moment	0.00	μB per formula unit
raw total energy	-29.3	eV per formula unit